[1]
Material: Mg2ZnCrMo
Method: DFT, PBE
State: optimized geometry

```
data_Mg2ZnCrMo
_cell_length_a 5.138
_cell_length_b 5.138
_cell_length_c 4.879
_cell_angle_alpha 90.00
_cell_angle_beta 90.00
_cell_angle_gamma 90.00
_space_group_name_H-M_alt 'P 4/m m m'
_space_group_IT_number 123
_space_group_name_Hall '-P 4 2'
loop_
_atom_site_label
_atom_site_type_symbol
_atom_site_fract_x
_atom_site_fract_y
_atom_site_fract_z
Mg1 Mg 0.000 0.500 0.000
Zn1 Zn 0.000 0.000 0.500
Cr1 Cr 0.500 0.500 0.500
Mo1 Mo 0.000 0.000 0.000
```

---

[2]
Material: MgZr2CrMo
Method: DFT, PBE
State: optimized geometry

```
data_MgZr2CrMo
_cell_length_a 4.960
_cell_length_b 4.960
_cell_length_c 4.420
_cell_angle_alpha 90.00
_cell_angle_beta 90.00
_cell_angle_gamma 90.00
_space_group_name_H-M_alt 'P 4/m m m'
_space_group_IT_number 123
_space_group_name_Hall '-P 4 2'
loop_
_atom_site_label
_atom_site_type_symbol
_atom_site_fract_x
_atom_site_fract_y
_atom_site_fract_z
Mg1 Mg 0.000 0.000 0.000
Zr1 Zr 0.000 0.500 0.500
Cr1 Cr 0.500 0.500 0.500
Mo1 Mo 0.500 0.500 0.000
```

---

Looking at energy of formation from the pure elements for the records above, in order, we have 1.316; 0.598 eV per atom.